No. 1
{
  "formula": "Y2TlSb2",
  "functional": "PBE",
  "state": "relaxed",
  "raw_formation_energy_mev_per_atom": -693,
  "volume_a3_per_cell": 287.45,
  "dft_energy_ev_per_atom": -5.400,
  "lattice_angstrom": [[8.418, 0.000, 0.000], [0.000, 8.418, 0.000], [0.000, 0.000, 4.056]],
  "species": ["Y", "Y", "Y", "Y", "Tl", "Tl", "Sb", "Sb", "Sb", "Sb"],
  "frac_coords": [[0.147, 0.353, 0.000], [0.353, 0.853, 0.000], [0.647, 0.147, 0.000], [0.853, 0.647, 0.000], [0.000, 0.000, 0.000], [0.500, 0.500, 0.000], [0.157, 0.657, 0.500], [0.343, 0.157, 0.500], [0.657, 0.843, 0.500], [0.843, 0.343, 0.500]]
}


No. 2
{
  "formula": "YTl2Sb",
  "functional": "PBE",
  "state": "relaxed",
  "raw_formation_energy_mev_per_atom": -368,
  "volume_a3_per_cell": 117.14,
  "dft_energy_ev_per_atom": -4.198,
  "lattice_angstrom": [[4.124, 0.000, 0.000], [0.000, 4.196, 0.000], [-0.002, 0.000, 6.768]],
  "species": ["Y", "Tl", "Tl", "Sb"],
  "frac_coords": [[0.000, 0.000, 0.000], [0.002, 0.000, 0.474], [0.501, 0.500, 0.709], [0.500, 0.500, 0.169]]
}


No. 3
{
  "formula": "Y4Tl2Sb",
  "functional": "PBE",
  "state": "relaxed",
  "raw_formation_energy_mev_per_atom": -567,
  "volume_a3_per_cell": 404.88,
  "dft_energy_ev_per_atom": -5.525,
  "lattice_angstrom": [[-4.655, 4.655, 4.672], [4.655, -4.655, 4.672], [4.655, 4.655, -4.672]],
  "species": ["Y", "Y", "Y", "Y", "Y", "Y", "Y", "Y", "Tl", "Tl", "Tl", "Tl", "Sb", "Sb"],
  "frac_coords": [[0.124, 0.233, 0.748], [0.126, 0.734, 0.752], [0.266, 0.017, 0.391], [0.484, 0.376, 0.252], [0.624, 0.876, 0.109], [0.626, 0.874, 0.609], [0.767, 0.516, 0.891], [0.983, 0.374, 0.248], [0.252, 0.625, 0.127], [0.375, 0.502, 0.627], [0.498, 0.125, 0.873], [0.875, 0.748, 0.373], [0.000, 0.000, 0.000], [0.750, 0.250, 0.500]]
}